The following is a DFT calculation (PBE) of PrPaSi2Ni2 after structural relaxation.

a = 4.099 Å, b = 4.099 Å, c = 7.800 Å
α = 90.00°, β = 90.00°, γ = 120.00°
Fractional coordinates of all 6 atoms:
Pr  0.000  0.000  0.000
Pa  0.000  0.000  0.500
Si  0.667  0.333  0.267
Si  0.333  0.667  0.733
Ni  0.667  0.333  0.723
Ni  0.333  0.667  0.277

Computed properties:
- Calculated density: 7.98 g/cm3
- Magnetization: 0.0 Bohr magnetons per cell
- Space group: P-3m1, No. 164
- Final energy: -6.837 eV per atom